No. 1
TeAu: relaxed, GGA-PBE.

```
TeAu
1.0
5.831 -2.159 0.000
5.831 2.159 0.000
-1.470 0.000 7.266
Te Au
3 3
direct
0.000 0.000 0.000
0.123 0.123 0.651
0.317 0.317 0.451
0.364 0.364 0.015
0.735 0.735 0.823
0.811 0.811 0.237
```

Output
The value obtained for the electronic total energy is -19.124 eV for the cell shown. The calculation puts the density of states at the Fermi level at 1.79 states/eV per cell. As for the total magnetic moment: 0.00 μB/f.u.


No. 2
Te7Au: relaxed, GGA-PBE.

```
Te7Au
1.0
0.000 4.788 4.788
4.788 0.000 4.788
4.788 4.788 0.000
Te Au
7 1
direct
0.000 0.000 0.000
0.000 0.000 0.500
0.000 0.500 0.000
0.000 0.500 0.500
0.500 0.000 0.000
0.500 0.000 0.500
0.500 0.500 0.000
0.500 0.500 0.500
```

Output
The value obtained for the electronic total energy is -21.527 eV for the cell shown. The calculation puts the density of states at the Fermi level at 9.64 states/eV per cell. As for the total magnetic moment: 0.00 μB/f.u.


No. 3
Te5Au: relaxed, GGA-PBE.

```
Te5Au
1.0
0.000 4.441 4.441
4.441 0.000 4.441
4.441 4.441 0.000
Te Au
5 1
direct
0.000 0.000 0.000
0.124 0.625 0.625
0.625 0.124 0.625
0.625 0.625 0.124
0.625 0.625 0.625
0.250 0.250 0.250
```

Output
As for the energy above the most stable polymorph in this dataset: 0.629 eV/atom. The value obtained for the electronic total energy is -15.302 eV for the cell shown. The calculation puts the density of states at the Fermi level at 3.70 states/eV per cell. As for the total magnetic moment: 0.00 μB/f.u.


No. 4
TeAu: relaxed, GGA-PBE.

```
TeAu
1.0
4.673 0.000 0.000
-2.337 4.047 0.000
0.000 0.000 3.224
Te Au
1 1
direct
0.000 0.000 0.000
0.333 0.667 0.000
```

Output
The value obtained for the electronic total energy is -6.451 eV for the cell shown. The calculation puts the density of states at the Fermi level at 1.18 states/eV per cell. As for the total magnetic moment: 0.00 μB/f.u.


No. 5
TeAu5: relaxed, GGA-PBE.

```
TeAu5
1.0
0.000 3.948 3.948
3.948 0.000 3.948
3.948 3.948 0.000
Te Au
1 5
direct
0.000 0.000 0.000
0.375 0.375 0.375
0.375 0.375 0.874
0.375 0.874 0.375
0.750 0.750 0.750
0.874 0.375 0.375
```

Output
As for the energy above the most stable polymorph in this dataset: 0.099 eV/atom. The value obtained for the electronic total energy is -18.330 eV for the cell shown. The calculation puts the density of states at the Fermi level at 3.89 states/eV per cell. As for the total magnetic moment: 0.00 μB/f.u.


No. 6
TeAu: relaxed, GGA-PBE.

```
TeAu
1.0
4.026 0.000 0.000
0.000 4.026 0.000
0.000 0.000 3.144
Te Au
1 1
direct
0.000 0.000 0.000
0.500 0.500 0.000
```

Output
The value obtained for the electronic total energy is -6.434 eV for the cell shown. The calculation puts the density of states at the Fermi level at 0.91 states/eV per cell. As for the total magnetic moment: 0.00 μB/f.u.


No. 7
Te3Au4: relaxed, GGA-PBE.

```
Te3Au4
1.0
6.336 0.000 0.000
-3.168 5.487 0.000
0.000 0.000 5.086
Te Au
3 4
direct
0.000 0.500 0.000
0.500 0.000 0.000
0.500 0.500 0.000
0.000 0.000 0.252
0.000 0.000 0.748
0.333 0.667 0.500
0.667 0.333 0.500
```

Output
As for the energy above the most stable polymorph in this dataset: 0.435 eV/atom. The value obtained for the electronic total energy is -18.939 eV for the cell shown. The calculation puts the density of states at the Fermi level at 5.87 states/eV per cell. As for the total magnetic moment: 0.00 μB/f.u.


No. 8
Te3Au: relaxed, GGA-PBE.

```
Te3Au
1.0
1.971 -2.877 0.000
1.971 2.877 0.000
0.000 0.000 9.555
Te Au
3 1
direct
0.000 0.000 0.000
0.500 0.500 0.293
0.500 0.500 0.707
0.000 0.000 0.500
```

Output
The value obtained for the electronic total energy is -11.808 eV for the cell shown. The calculation puts the density of states at the Fermi level at 1.89 states/eV per cell. As for the total magnetic moment: 0.00 μB/f.u.


No. 9
Te3Au: relaxed, GGA-PBE.

```
Te3Au
1.0
-1.966 3.955 4.286
1.966 -3.955 4.286
1.966 3.955 -4.286
Te Au
3 1
direct
0.000 0.000 0.000
0.120 0.362 0.758
0.604 0.362 0.242
0.401 0.901 0.500
```

Output
The value obtained for the electronic total energy is -12.325 eV for the cell shown. The calculation puts the density of states at the Fermi level at 1.67 states/eV per cell. As for the total magnetic moment: 0.00 μB/f.u.


No. 10
TeAu5: relaxed, GGA-PBE.

```
TeAu5
1.0
4.806 0.000 0.000
0.000 1.724 7.167
0.000 -1.724 7.167
Te Au
1 5
direct
0.000 0.000 0.000
0.000 0.326 0.326
0.000 0.669 0.669
0.500 0.133 0.133
0.500 0.458 0.458
0.500 0.794 0.794
```

Output
As for the energy above the most stable polymorph in this dataset: 0.036 eV/atom. The value obtained for the electronic total energy is -18.708 eV for the cell shown. The calculation puts the density of states at the Fermi level at 2.34 states/eV per cell. As for the total magnetic moment: 0.00 μB/f.u.


No. 11
TeAu: relaxed, GGA-PBE.

```
TeAu
1.0
4.975 0.000 0.000
0.000 4.391 0.000
-1.890 0.000 5.465
Te Au
2 2
direct
0.057 0.250 0.226
0.943 0.750 0.774
0.337 0.750 0.532
0.663 0.250 0.468
```

Output
The value obtained for the electronic total energy is -12.618 eV for the cell shown. The calculation puts the density of states at the Fermi level at 2.31 states/eV per cell. As for the total magnetic moment: 0.00 μB/f.u.


No. 12
Te8Au: relaxed, GGA-PBE.

```
Te8Au
1.0
-4.472 4.472 4.176
4.472 -4.472 4.176
4.472 4.472 -4.176
Te Au
8 1
direct
0.000 0.302 0.302
0.000 0.698 0.698
0.302 0.000 0.302
0.332 0.332 0.664
0.332 0.668 0.000
0.668 0.332 0.000
0.668 0.668 0.336
0.698 0.000 0.698
0.000 0.000 0.000
```

Output
The value obtained for the electronic total energy is -26.993 eV for the cell shown. The calculation puts the density of states at the Fermi level at 7.85 states/eV per cell. As for the total magnetic moment: 0.00 μB/f.u.


No. 13
TeAu6: relaxed, GGA-PBE.

```
TeAu6
1.0
-3.736 3.736 3.736
3.736 -3.736 3.736
3.736 3.736 -3.736
Te Au
1 6
direct
0.000 0.000 0.000
0.250 0.500 0.750
0.250 0.750 0.500
0.500 0.250 0.750
0.500 0.750 0.250
0.750 0.250 0.500
0.750 0.500 0.250
```

Output
The value obtained for the electronic total energy is -17.766 eV for the cell shown. The calculation puts the density of states at the Fermi level at 3.03 states/eV per cell. As for the total magnetic moment: 1.31 μB/f.u.


No. 14
Te2Au3: relaxed, GGA-PBE.

```
Te2Au3
1.0
3.369 1.945 6.900
-3.369 1.945 6.900
0.000 -3.890 6.900
Te Au
4 6
direct
0.124 0.124 0.124
0.376 0.376 0.376
0.624 0.624 0.624
0.876 0.876 0.876
0.009 0.250 0.491
0.250 0.491 0.009
0.491 0.009 0.250
0.509 0.991 0.750
0.750 0.509 0.991
0.991 0.750 0.509
```

Output
The value obtained for the electronic total energy is -31.840 eV for the cell shown. The calculation puts the density of states at the Fermi level at 5.11 states/eV per cell. As for the total magnetic moment: 0.00 μB/f.u.


No. 15
TeAu: relaxed, GGA-PBE.

```
TeAu
1.0
-1.934 1.963 6.663
1.934 -1.963 6.663
1.934 1.963 -6.663
Te Au
2 2
direct
0.392 0.142 0.250
0.608 0.858 0.750
0.165 0.415 0.750
0.835 0.585 0.250
```

Output
The value obtained for the electronic total energy is -12.346 eV for the cell shown. The calculation puts the density of states at the Fermi level at 2.34 states/eV per cell. As for the total magnetic moment: 0.00 μB/f.u.


No. 16
Te3Au: relaxed, GGA-PBE.

```
Te3Au
1.0
8.110 0.000 0.000
-4.055 7.024 0.000
0.000 0.000 3.971
Te Au
6 2
direct
0.180 0.359 0.250
0.180 0.820 0.250
0.359 0.180 0.750
0.641 0.820 0.250
0.820 0.180 0.750
0.820 0.641 0.750
0.333 0.667 0.750
0.667 0.333 0.250
```

Output
The value obtained for the electronic total energy is -24.191 eV for the cell shown. The calculation puts the density of states at the Fermi level at 6.24 states/eV per cell. As for the total magnetic moment: 0.00 μB/f.u.


No. 17
TeAu: relaxed, GGA-PBE.

```
TeAu
1.0
6.411 -2.126 0.000
6.411 2.126 0.000
-3.953 0.000 6.208
Te Au
3 3
direct
0.000 0.000 0.000
0.342 0.342 0.388
0.624 0.624 0.586
0.222 0.222 0.841
0.650 0.650 0.226
0.838 0.838 0.132
```

Output
The value obtained for the electronic total energy is -19.194 eV for the cell shown. The calculation puts the density of states at the Fermi level at 2.28 states/eV per cell. As for the total magnetic moment: 0.00 μB/f.u.


No. 18
TeAu5: relaxed, GGA-PBE.

```
TeAu5
1.0
2.110 -6.629 0.000
2.110 6.629 0.000
0.000 0.000 4.202
Te Au
1 5
direct
0.000 0.000 0.000
0.172 0.828 0.500
0.329 0.671 0.000
0.500 0.500 0.500
0.671 0.329 0.000
0.828 0.172 0.500
```

Output
As for the energy above the most stable polymorph in this dataset: 0.000 eV/atom. The value obtained for the electronic total energy is -18.923 eV for the cell shown. The calculation puts the density of states at the Fermi level at 2.37 states/eV per cell. As for the total magnetic moment: 0.00 μB/f.u.


No. 19
Te2Au3: relaxed, GGA-PBE.

```
Te2Au3
1.0
2.073 1.197 7.952
-2.073 1.197 7.952
0.000 -2.394 7.952
Te Au
2 3
direct
0.096 0.096 0.096
0.904 0.904 0.904
0.302 0.302 0.302
0.500 0.500 0.500
0.698 0.698 0.698
```

Output
The value obtained for the electronic total energy is -16.033 eV for the cell shown. The calculation puts the density of states at the Fermi level at 2.61 states/eV per cell. As for the total magnetic moment: 0.00 μB/f.u.


No. 20
Te3Au: relaxed, GGA-PBE.

```
Te3Au
1.0
5.273 0.000 0.000
0.000 5.273 0.000
0.000 0.000 3.725
Te Au
3 1
direct
0.000 0.000 0.000
0.000 0.500 0.500
0.500 0.000 0.500
0.500 0.500 0.000
```

Output
The value obtained for the electronic total energy is -11.202 eV for the cell shown. The calculation puts the density of states at the Fermi level at 3.14 states/eV per cell. As for the total magnetic moment: 0.00 μB/f.u.


No. 21
TeAu: relaxed, GGA-PBE.

```
TeAu
1.0
3.139 0.000 0.000
0.000 3.139 0.000
0.000 0.000 10.212
Te Au
2 2
direct
0.250 0.250 0.182
0.750 0.750 0.818
0.250 0.250 0.594
0.750 0.750 0.406
```

Output
The value obtained for the electronic total energy is -11.929 eV for the cell shown. The calculation puts the density of states at the Fermi level at 1.27 states/eV per cell. As for the total magnetic moment: 0.00 μB/f.u.


No. 22
Te3Au: relaxed, GGA-PBE.

```
Te3Au
1.0
3.977 0.000 0.000
0.000 3.997 0.000
0.000 0.000 7.097
Te Au
3 1
direct
0.000 0.000 0.000
0.000 0.500 0.341
0.500 0.500 0.777
0.500 0.000 0.486
```

Output
The value obtained for the electronic total energy is -12.004 eV for the cell shown. The calculation puts the density of states at the Fermi level at 3.16 states/eV per cell. As for the total magnetic moment: 0.00 μB/f.u.


No. 23
TeAu: relaxed, GGA-PBE.

```
TeAu
1.0
3.908 0.000 0.000
-1.954 3.384 0.000
0.000 0.000 3.783
Te Au
1 1
direct
0.000 0.000 0.000
0.333 0.667 0.500
```

Output
The value obtained for the electronic total energy is -6.057 eV for the cell shown. The calculation puts the density of states at the Fermi level at 1.44 states/eV per cell. As for the total magnetic moment: 0.00 μB/f.u.


No. 24
Te3Au: relaxed, GGA-PBE.

```
Te3Au
1.0
4.073 0.000 0.000
-2.036 3.527 0.000
0.000 0.000 7.909
Te Au
3 1
direct
0.000 0.000 0.000
0.667 0.333 0.279
0.667 0.333 0.721
0.000 0.000 0.500
```

Output
The value obtained for the electronic total energy is -12.077 eV for the cell shown. The calculation puts the density of states at the Fermi level at 3.86 states/eV per cell. As for the total magnetic moment: 0.00 μB/f.u.


No. 25
TeAu: relaxed, GGA-PBE.

```
TeAu
1.0
4.269 0.000 0.000
-2.134 3.697 0.000
0.000 0.000 7.256
Te Au
2 2
direct
0.333 0.667 0.212
0.667 0.333 0.788
0.333 0.667 0.615
0.667 0.333 0.385
```

Output
The value obtained for the electronic total energy is -12.600 eV for the cell shown. The calculation puts the density of states at the Fermi level at 3.08 states/eV per cell. As for the total magnetic moment: 0.00 μB/f.u.


No. 26
Th4Te5Au: relaxed, GGA-PBE.

```
Th4Te5Au
1.0
9.717 -2.193 0.000
9.717 2.193 0.000
-2.106 0.000 8.604
Th Te Au
4 5 1
direct
0.001 0.001 0.237
0.337 0.337 0.904
0.663 0.663 0.096
0.999 0.999 0.763
0.168 0.168 0.347
0.169 0.169 0.834
0.500 0.500 0.500
0.831 0.831 0.166
0.832 0.832 0.653
0.500 0.500 0.000
```

Output
The value obtained for the electronic total energy is -58.712 eV for the cell shown. The calculation puts the density of states at the Fermi level at 7.96 states/eV per cell. As for the total magnetic moment: 0.00 μB/f.u.


No. 27
Th3Te2Au: relaxed, GGA-PBE.

```
Th3Te2Au
1.0
6.259 0.000 0.000
0.000 13.261 0.000
-0.003 0.000 8.875
Th Te Au
12 8 4
direct
0.249 0.079 0.148
0.249 0.421 0.648
0.250 0.074 0.605
0.250 0.426 0.105
0.250 0.747 0.127
0.250 0.753 0.627
0.750 0.247 0.373
0.750 0.253 0.873
0.750 0.574 0.895
0.750 0.926 0.395
0.751 0.579 0.352
0.751 0.921 0.852
0.250 0.237 0.877
0.250 0.263 0.377
0.251 0.579 0.380
0.251 0.921 0.880
0.749 0.079 0.120
0.749 0.421 0.620
0.750 0.737 0.623
0.750 0.763 0.123
0.250 0.592 0.872
0.250 0.908 0.372
0.750 0.092 0.628
0.750 0.408 0.128
```

Output
The value obtained for the electronic total energy is -149.037 eV for the cell shown. The calculation puts the density of states at the Fermi level at 16.60 states/eV per cell. As for the total magnetic moment: 0.00 μB/f.u.